1.
Gd2BiO2, relaxed, DFT PBE-GGA; formation energy (no corrections) = -60.924 kcal/mol of atoms; SG = I4/mmm, No. 139; calculated volume = 21.26 A^3/atom; D(E_F) = 0.6 states/eV per cell
1.0
7.4127 0.0035 0.0000
5.3236 5.1582 0.0000
-6.3682 -2.5809 2.7810
O Gd Bi
2 2 1
Cartesian
3.7063 0.0018 1.3905
2.6618 2.5791 1.3905
4.2434 1.7197 0.0000
8.4930 3.4420 0.0000
0.0000 0.0000 0.0000

=====

2.
Gd3BiO3, relaxed, DFT PBE-GGA; formation energy (no corrections) = -63.219 kcal/mol of atoms; SG = C2/m, No. 12; calculated volume = 20.13 A^3/atom; D(E_F) = 8.7 states/eV per cell
1.0
-3.5709 5.6714 -2.2235
-5.3564 4.4818 1.0404
2.5538 10.6027 5.2613
Gd Bi O
6 2 6
Cartesian
0.3350 7.1866 2.8025
-6.7085 13.5692 1.2757
-0.9045 2.3298 0.3543
-3.7984 15.0761 3.4169
-2.5751 5.6797 0.6614
-5.4690 18.4260 3.7239
-1.6838 11.0642 3.1114
-4.6896 9.6915 0.9668
-2.9672 3.5762 -0.3198
1.5118 9.1858 4.1750
-7.8853 11.5699 -0.0967
-4.6542 13.3015 2.3019
-1.7192 7.4542 1.7763
-3.4063 17.1795 4.3980

=====

3.
Gd2BiO, relaxed, DFT PBE-GGA; formation energy (no corrections) = -37.091 kcal/mol of atoms; SG = R-3m, No. 166; calculated volume = 22.35 A^3/atom; D(E_F) = 2.3 states/eV per cell; polymorph energy (0 for the lowest one) = 0.0 meV per atom
1.0
3.6915 0.0000 0.0000
1.8458 3.1970 0.0000
1.8458 1.0657 7.5748
O Gd Bi
1 2 1
Cartesian
0.0000 0.0000 0.0000
5.5373 3.1970 6.2924
1.8458 1.0657 1.2823
3.6915 2.1313 3.7874